# Cs6Rb2Cl, optimized geometry, DFT GGA-PBE
# Formation energy (no corrections): -0.413 eV/atom
# Calculated volume: 93.4 Å³ per atom
# DOS at the Fermi energy: 0.846 states/eV per atom
data_Cs6Rb2Cl
_chemical_formula_sum 'Cs12 Rb4 Cl2'
_space_group_name_H-M_alt 'C 1 2/m 1'
_space_group_IT_number 12
_cell_length_a 16.7927
_cell_length_b 12.0645
_cell_length_c 10.9018
_cell_angle_alpha 90.00
_cell_angle_beta 130.41
_cell_angle_gamma 90.00
loop_
_space_group_symop_operation_xyz
'x,y,z'
'-x,-y,-z'
'-x,y,-z'
'x,-y,z'
'x+1/2,y+1/2,z'
'-x+1/2,-y+1/2,-z'
'-x+1/2,y+1/2,-z'
'x+1/2,-y+1/2,z'
loop_
_atom_site_label
_atom_site_type_symbol
_atom_site_fract_x
_atom_site_fract_y
_atom_site_fract_z
Cs1 Cs 0.0000 0.2075 0.2384
Cs2 Cs 0.2249 0.5000 0.7247
Rb1 Rb 0.2145 0.5000 0.2144
Cl1 Cl 0.0000 0.0000 0.0000

---

# Cs12Rb3Cl5, optimized geometry, DFT GGA-PBE
# Formation energy (no corrections): -0.883 eV/atom
# Calculated volume: 83.9 Å³ per atom
# DOS at the Fermi energy: 0.629 states/eV per atom
data_Cs12Rb3Cl5
_chemical_formula_sum 'Cs96 Rb24 Cl40'
_space_group_name_H-M_alt 'I a -3 d'
_space_group_IT_number 230
_space_group_name_Hall '-I 4bd 2c 3'
_cell_length_a 23.7657
_cell_length_b 23.7657
_cell_length_c 23.7657
_cell_angle_alpha 90.00
_cell_angle_beta 90.00
_cell_angle_gamma 90.00
loop_
_atom_site_label
_atom_site_type_symbol
_atom_site_fract_x
_atom_site_fract_y
_atom_site_fract_z
Cs1 Cs 0.0402 0.1420 0.9566
Rb1 Rb 0.0000 0.2500 0.1250
Cl1 Cl 0.0000 0.0000 0.0000
Cl2 Cl 0.0000 0.2500 0.3750

---

# Cs2RbCl, optimized geometry, DFT GGA-PBE
# Distance to the lowest polymorph of the same formula: 0.054 eV/atom
# Formation energy (no corrections): -0.890 eV/atom
# Calculated volume: 65.5 Å³ per atom
# DOS at the Fermi energy: 0.603 states/eV per atom
data_Cs2RbCl
_chemical_formula_sum 'Cs2 Rb1 Cl1'
_space_group_name_H-M_alt 'P 4/m m m'
_space_group_IT_number 123
_space_group_name_Hall '-P 4 2'
_cell_length_a 4.5191
_cell_length_b 4.5191
_cell_length_c 12.8259
_cell_angle_alpha 90.00
_cell_angle_beta 90.00
_cell_angle_gamma 90.00
loop_
_atom_site_label
_atom_site_type_symbol
_atom_site_fract_x
_atom_site_fract_y
_atom_site_fract_z
Cs1 Cs 0.0000 0.0000 0.1585
Rb1 Rb 0.5000 0.5000 0.5000
Cl1 Cl 0.5000 0.5000 0.0000

---

# Cs3RbCl, optimized geometry, DFT GGA-PBE
# Distance to the lowest polymorph of the same formula: 0.000 eV/atom
# Formation energy (no corrections): -0.747 eV/atom
# Calculated volume: 77.0 Å³ per atom
# DOS at the Fermi energy: 0.874 states/eV per atom
data_Cs3RbCl
_chemical_formula_sum 'Cs3 Rb1 Cl1'
_space_group_name_H-M_alt 'P m -3 m'
_space_group_IT_number 221
_space_group_name_Hall '-P 4 2 3'
_cell_length_a 7.2743
_cell_length_b 7.2743
_cell_length_c 7.2743
_cell_angle_alpha 90.00
_cell_angle_beta 90.00
_cell_angle_gamma 90.00
loop_
_atom_site_label
_atom_site_type_symbol
_atom_site_fract_x
_atom_site_fract_y
_atom_site_fract_z
Cs1 Cs 0.0000 0.0000 0.5000
Rb1 Rb 0.5000 0.5000 0.5000
Cl1 Cl 0.0000 0.0000 0.0000

---

# Cs5Rb12Cl3, optimized geometry, DFT GGA-PBE
# Formation energy (no corrections): -0.395 eV/atom
# Calculated volume: 107.2 Å³ per atom
# DOS at the Fermi energy: 0.758 states/eV per atom
data_Cs5Rb12Cl3
_chemical_formula_sum 'Cs40 Rb96 Cl24'
_space_group_name_H-M_alt 'I a -3 d'
_space_group_IT_number 230
_space_group_name_Hall '-I 4bd 2c 3'
_cell_length_a 25.7922
_cell_length_b 25.7922
_cell_length_c 25.7922
_cell_angle_alpha 90.00
_cell_angle_beta 90.00
_cell_angle_gamma 90.00
loop_
_atom_site_label
_atom_site_type_symbol
_atom_site_fract_x
_atom_site_fract_y
_atom_site_fract_z
Cs1 Cs 0.0000 0.0000 0.0000
Cs2 Cs 0.0000 0.2500 0.3750
Rb1 Rb 0.0082 0.1269 0.6349
Cl1 Cl 0.0000 0.2500 0.1250

---

# Cs5Rb4Cl, optimized geometry, DFT GGA-PBE
# Formation energy (no corrections): -0.375 eV/atom
# Calculated volume: 89.9 Å³ per atom
# DOS at the Fermi energy: 0.757 states/eV per atom
data_Cs5Rb4Cl
_chemical_formula_sum 'Cs10 Rb8 Cl2'
_space_group_name_H-M_alt 'I 4/m m m'
_space_group_IT_number 139
_space_group_name_Hall '-I 4 2'
_cell_length_a 15.7734
_cell_length_b 15.7734
_cell_length_c 7.2297
_cell_angle_alpha 90.00
_cell_angle_beta 90.00
_cell_angle_gamma 90.00
loop_
_atom_site_label
_atom_site_type_symbol
_atom_site_fract_x
_atom_site_fract_y
_atom_site_fract_z
Cs1 Cs 0.0000 0.0000 0.0000
Cs2 Cs 0.1603 0.1603 0.5000
Rb1 Rb 0.0000 0.3436 0.0000
Cl1 Cl 0.0000 0.0000 0.5000

---

# Cs3Rb12Cl5, optimized geometry, DFT GGA-PBE
# Formation energy (no corrections): -0.827 eV/atom
# Calculated volume: 75.8 Å³ per atom
# DOS at the Fermi energy: 0.516 states/eV per atom
data_Cs3Rb12Cl5
_chemical_formula_sum 'Cs24 Rb96 Cl40'
_space_group_name_H-M_alt 'I a -3 d'
_space_group_IT_number 230
_space_group_name_Hall '-I 4bd 2c 3'
_cell_length_a 22.9769
_cell_length_b 22.9769
_cell_length_c 22.9769
_cell_angle_alpha 90.00
_cell_angle_beta 90.00
_cell_angle_gamma 90.00
loop_
_atom_site_label
_atom_site_type_symbol
_atom_site_fract_x
_atom_site_fract_y
_atom_site_fract_z
Cs1 Cs 0.0000 0.2500 0.1250
Rb1 Rb 0.0372 0.1385 0.9496
Cl1 Cl 0.0000 0.0000 0.0000
Cl2 Cl 0.0000 0.2500 0.3750

---

# Cs4RbCl, optimized geometry, DFT GGA-PBE
# Formation energy (no corrections): -0.604 eV/atom
# Calculated volume: 88.8 Å³ per atom
# DOS at the Fermi energy: 0.713 states/eV per atom
data_Cs4RbCl
_chemical_formula_sum 'Cs16 Rb4 Cl4'
_space_group_name_H-M_alt 'P 21 21 2'
_space_group_IT_number 18
_cell_length_a 13.6301
_cell_length_b 13.6353
_cell_length_c 11.4625
_cell_angle_alpha 90.00
_cell_angle_beta 90.00
_cell_angle_gamma 90.00
loop_
_space_group_symop_operation_xyz
'x,y,z'
'-x,-y,z'
'x+1/2,-y+1/2,-z'
'-x+1/2,y+1/2,-z'
loop_
_atom_site_label
_atom_site_type_symbol
_atom_site_fract_x
_atom_site_fract_y
_atom_site_fract_z
Cs1 Cs 0.9996 0.2446 0.0784
Cs2 Cs 0.1937 0.3076 0.7021
Cs3 Cs 0.1953 0.6946 0.7011
Cs4 Cs 0.2294 0.0005 0.9207
Rb1 Rb 0.0000 0.0000 0.4979
Rb2 Rb 0.0000 0.5000 0.3998
Cl1 Cl 0.2497 0.2505 0.0002

---

# Cs2Rb4Cl, optimized geometry, DFT GGA-PBE
# Formation energy (no corrections): -0.490 eV/atom
# Calculated volume: 87.0 Å³ per atom
# DOS at the Fermi energy: 0.822 states/eV per atom
data_Cs2Rb4Cl
_chemical_formula_sum 'Cs4 Rb8 Cl2'
_space_group_name_H-M_alt 'I 4/m m m'
_space_group_IT_number 139
_space_group_name_Hall '-I 4 2'
_cell_length_a 6.6844
_cell_length_b 6.6844
_cell_length_c 27.2717
_cell_angle_alpha 90.00
_cell_angle_beta 90.00
_cell_angle_gamma 90.00
loop_
_atom_site_label
_atom_site_type_symbol
_atom_site_fract_x
_atom_site_fract_y
_atom_site_fract_z
Cs1 Cs 0.0000 0.0000 0.1874
Rb1 Rb 0.0000 0.0000 0.3769
Rb2 Rb 0.0000 0.5000 0.0000
Cl1 Cl 0.0000 0.0000 0.5000

---

# CsRbReCl6, optimized geometry, DFT GGA-PBE
# Formation energy (no corrections): -1.260 eV/atom
# Calculated volume: 35.7 Å³ per atom
data_CsRbReCl6
_chemical_formula_sum 'Cs2 Rb2 Re2 Cl12'
_space_group_name_H-M_alt 'P -3 1 c'
_space_group_IT_number 163
_space_group_name_Hall '-P 3 2c'
_cell_length_a 8.1000
_cell_length_b 8.1000
_cell_length_c 11.3060
_cell_angle_alpha 90.00
_cell_angle_beta 90.00
_cell_angle_gamma 120.00
loop_
_atom_site_label
_atom_site_type_symbol
_atom_site_fract_x
_atom_site_fract_y
_atom_site_fract_z
Cs1 Cs 0.3333 0.6667 0.2500
Rb1 Rb 0.0000 0.0000 0.0000
Re1 Re 0.3333 0.6667 0.7500
Cl1 Cl 0.0977 0.4235 0.6276

---

# CsRb2ReCl6, optimized geometry, DFT GGA-PBE
# Formation energy (no corrections): -1.278 eV/atom
# Calculated volume: 35.5 Å³ per atom
# DOS at the Fermi energy: 0.963 states/eV per atom
data_CsRb2ReCl6
_chemical_formula_sum 'Cs4 Rb8 Re4 Cl24'
_space_group_name_H-M_alt 'F m -3 m'
_space_group_IT_number 225
_space_group_name_Hall '-F 4 2 3'
_cell_length_a 11.2443
_cell_length_b 11.2443
_cell_length_c 11.2443
_cell_angle_alpha 90.00
_cell_angle_beta 90.00
_cell_angle_gamma 90.00
loop_
_atom_site_label
_atom_site_type_symbol
_atom_site_fract_x
_atom_site_fract_y
_atom_site_fract_z
Cs1 Cs 0.0000 0.0000 0.0000
Rb1 Rb 0.2500 0.2500 0.2500
Re1 Re 0.0000 0.0000 0.5000
Cl1 Cl 0.0000 0.0000 0.2863

---

# CsRb2RhCl8, optimized geometry, DFT GGA-PBE
# Formation energy (no corrections): -1.181 eV/atom
# Calculated volume: 31.3 Å³ per atom
# DOS at the Fermi energy: 0.748 states/eV per atom
data_CsRb2RhCl8
_chemical_formula_sum 'Cs1 Rb2 Rh1 Cl8'
_space_group_name_H-M_alt 'P -1'
_space_group_IT_number 2
_cell_length_a 5.7501
_cell_length_b 6.9850
_cell_length_c 9.6456
_cell_angle_alpha 89.94
_cell_angle_beta 75.48
_cell_angle_gamma 89.92
loop_
_space_group_symop_operation_xyz
'x,y,z'
'-x,-y,-z'
loop_
_atom_site_label
_atom_site_type_symbol
_atom_site_fract_x
_atom_site_fract_y
_atom_site_fract_z
Cs1 Cs 0.0000 0.0000 0.0000
Rb1 Rb 0.3476 0.4997 0.3130
Rh1 Rh 0.0000 0.0000 0.5000
Cl1 Cl 0.1720 0.2368 0.6151
Cl2 Cl 0.1720 0.7625 0.6152
Cl3 Cl 0.2454 0.4999 0.9968
Cl4 Cl 0.3305 0.9999 0.2984